The following is a GGA-PBE calculation of a relaxed BaCu2BiS4 crystal, from Alexandria via LeMat-Bulk.

```
BaCu2BiS4
1.0
6.611 0.000 0.000
3.305 5.588 0.050
3.305 0.507 5.565
S Ba Bi Cu
4 1 1 2
direct
0.442 0.124 0.495
0.558 0.505 0.876
0.061 0.876 0.505
0.939 0.495 0.124
0.000 0.000 0.000
0.500 0.500 0.500
0.168 0.332 0.332
0.832 0.668 0.668
```

Results
ΔE_f (raw) ... -0.6214 eV/atom
V ... 25.7 Å³/atom
Total magnetization ... 0.00 μB per cell

---

The following is a GGA-PBE calculation of a relaxed InCuSn crystal, from Alexandria via LeMat-Bulk.

```
InCuSn
1.0
6.481 0.066 0.000
0.548 4.998 0.000
-0.001 0.000 4.184
In Sn Cu
2 2 2
direct
0.525 0.305 0.019
0.855 0.705 0.519
0.388 0.839 0.519
0.992 0.173 0.019
0.222 0.357 0.518
0.159 0.655 0.018
```

Results
ΔH_f (0 K) ... 0.02 eV per atom
V ... 22.6 Å³/atom
Total magnetization ... 0.00 μB per cell

---

The following is a GGA-PBE calculation of a relaxed InRh3Au crystal, from Alexandria via LeMat-Bulk.

```
InRh3Au
1.0
4.879 0.000 0.000
0.000 4.879 0.000
0.000 0.000 4.879
In Rh Au
1 3 1
direct
0.500 0.500 0.500
0.000 0.500 0.000
0.500 0.000 0.000
0.000 0.000 0.500
0.000 0.000 0.000
```

Results
ΔH_f (0 K) ... 1.32 eV per atom
V ... 23.2 Å³/atom
Total magnetization ... 1.59 μB per cell
Energy above the most stable polymorph in this dataset ... 0 meV per atom

---

The following is a GGA-PBE calculation of a relaxed BaCdAs2Br crystal, from Alexandria via LeMat-Bulk.

```
BaCdAs2Br
1.0
-5.022 1.408 -4.222
-2.507 -6.155 0.928
-3.408 2.106 4.757
Br Ba Cd As
1 1 1 2
direct
0.000 0.000 0.500
0.000 0.000 0.000
0.500 0.500 0.500
0.500 0.000 0.000
0.000 0.500 0.000
```

Results
ΔE_f (raw) ... 0.3028 eV/atom
V ... 56.0 Å³/atom
Total magnetization ... 5.01 μB per cell
Energy above the most stable polymorph in this dataset ... 686 meV per atom

---

The following is a GGA-PBE calculation of a relaxed Tb5Pm6Er crystal, from Alexandria via LeMat-Bulk.

```
Tb5Pm6Er
1.0
11.797 -1.360 0.000
1.790 5.987 0.000
0.895 2.993 5.410
Tb Pm Er
5 6 1
direct
0.500 0.167 0.667
0.500 0.500 0.000
0.000 0.667 0.667
0.500 0.833 0.333
0.000 0.333 0.333
0.249 0.584 0.333
0.250 0.250 0.000
0.751 0.083 0.333
0.750 0.750 0.000
0.249 0.917 0.667
0.751 0.416 0.667
0.000 0.000 0.000
```

Results
ΔH_f (0 K) ... 0.01 eV per atom
V ... 32.9 Å³/atom
Total magnetization ... 0.00 μB per cell
Energy above the most stable polymorph in this dataset ... 0 meV per atom

---

The following is a GGA-PBE calculation of a relaxed Ba3Sn5H12 crystal, from Alexandria via LeMat-Bulk.

```
Ba3Sn5H12
1.0
-10.031 -2.902 -6.125
9.018 -7.372 -3.299
-2.039 -1.181 11.874
Sn H Ba
20 48 12
direct
0.875 0.625 0.750
0.750 0.125 0.875
0.875 0.250 0.625
0.250 0.375 0.625
0.000 0.500 0.500
0.500 0.000 0.500
0.375 0.125 0.750
0.500 0.500 0.000
0.375 0.250 0.125
0.000 0.000 0.000
0.125 0.375 0.250
0.000 0.500 0.000
0.500 0.500 0.500
0.000 0.000 0.500
0.625 0.875 0.250
0.250 0.875 0.125
0.750 0.625 0.375
0.625 0.750 0.875
0.500 0.000 0.000
0.125 0.750 0.375
0.427 0.405 0.589
0.089 0.927 0.405
0.089 0.162 0.184
0.184 0.521 0.595
0.338 0.816 0.411
0.838 0.927 0.021
0.662 0.184 0.589
0.405 0.427 0.089
0.338 0.521 0.427
0.162 0.073 0.979
0.073 0.162 0.479
0.095 0.411 0.073
0.021 0.595 0.684
0.684 0.589 0.162
0.927 0.838 0.521
0.595 0.021 0.184
0.595 0.573 0.911
0.479 0.662 0.073
0.905 0.589 0.927
0.162 0.089 0.684
0.427 0.021 0.338
0.073 0.911 0.095
0.021 0.427 0.838
0.184 0.662 0.089
0.573 0.979 0.662
0.662 0.479 0.573
0.589 0.684 0.662
0.411 0.316 0.338
0.479 0.816 0.905
0.979 0.405 0.316
0.316 0.905 0.979
0.927 0.089 0.905
0.905 0.316 0.479
0.521 0.184 0.095
0.979 0.573 0.162
0.838 0.911 0.316
0.589 0.905 0.427
0.405 0.979 0.816
0.816 0.479 0.405
0.816 0.338 0.911
0.573 0.595 0.411
0.411 0.095 0.573
0.316 0.411 0.838
0.684 0.095 0.021
0.095 0.684 0.521
0.911 0.838 0.816
0.521 0.338 0.927
0.911 0.073 0.595
0.250 0.125 0.375
0.750 0.875 0.625
0.250 0.625 0.875
0.750 0.375 0.125
0.125 0.250 0.875
0.375 0.750 0.625
0.625 0.250 0.375
0.875 0.750 0.125
0.375 0.625 0.250
0.625 0.375 0.750
0.125 0.875 0.750
0.875 0.125 0.250
```

Results
E ... -253.87 eV per cell
V ... 17.1 Å³/atom
Total magnetization ... 0.00 μB per cell

---

The following is a GGA-PBE calculation of a relaxed CeNdRuBr crystal, from Alexandria via LeMat-Bulk.

```
CeNdRuBr
1.0
-1.828 -3.536 -0.341
0.658 1.566 3.615
-6.033 5.510 -1.291
Nd Ru Br Ce
1 1 1 1
direct
0.499 0.147 0.661
0.319 0.557 0.890
0.967 0.382 0.363
0.094 0.945 0.055
```

Results
ΔE_f (raw) ... -0.8237 eV/atom
V ... 27.4 Å³/atom
Total magnetization ... 0.32 μB per cell

---

The following is a GGA-PBE calculation of a relaxed VCrTc crystal, from Alexandria via LeMat-Bulk.

```
VCrTc
1.0
-1.514 1.317 -1.695
1.999 -1.801 -3.185
-3.389 -1.807 1.623
Cr Tc V
1 1 1
direct
0.000 0.000 0.000
0.669 0.333 0.667
0.331 0.667 0.333
```

Results
ΔH_f (0 K) ... -0.14 eV per atom
V ... 13.2 Å³/atom
Total magnetization ... 0.00 μB per cell
Energy above the most stable polymorph in this dataset ... 0 meV per atom

---

The following is a GGA-PBE calculation of a relaxed RbSiAg2 crystal, from Alexandria via LeMat-Bulk.

```
RbSiAg2
1.0
0.000 3.639 3.639
3.639 0.000 3.639
3.639 3.639 0.000
Si Rb Ag
1 1 2
direct
0.000 0.000 0.000
0.500 0.500 0.500
0.750 0.750 0.750
0.250 0.250 0.250
```

Results
ΔE_f (raw) ... 0.5918 eV/atom
V ... 24.1 Å³/atom
Total magnetization ... 0.00 μB per cell
Energy above the most stable polymorph in this dataset ... 502 meV per atom

---

The following is a GGA-PBE calculation of a relaxed In2NiCl crystal, from Alexandria via LeMat-Bulk.

```
In2NiCl
1.0
0.000 3.544 3.544
3.544 0.000 3.544
3.544 3.544 0.000
Ni Cl In
1 1 2
direct
0.500 0.500 0.500
0.000 0.000 0.000
0.750 0.750 0.750
0.250 0.250 0.250
```

Results
ΔE_f (raw) ... 0.1623 eV/atom
V ... 22.3 Å³/atom
Total magnetization ... 0.49 μB per cell
Energy above the most stable polymorph in this dataset ... 419 meV per atom

---

The following is a GGA-PBE calculation of a relaxed PaCdBi crystal, from Alexandria via LeMat-Bulk.

```
PaCdBi
1.0
-0.845 -3.055 0.425
1.715 -1.166 -4.971
3.389 -0.357 4.171
Bi Cd Pa
1 1 1
direct
0.166 0.000 0.000
0.168 0.667 0.333
0.666 0.333 0.667
```

Results
ΔH_f (0 K) ... 0.12 eV per atom
V ... 26.8 Å³/atom
Total magnetization ... 1.48 μB per cell
Energy above the most stable polymorph in this dataset ... 48 meV per atom

---

The following is a GGA-PBE calculation of a relaxed PmNi2Sn crystal, from Alexandria via LeMat-Bulk.

```
PmNi2Sn
1.0
-4.952 0.163 -3.808
-4.056 -0.774 5.241
-0.369 7.299 0.792
Sn Ni Pm
4 8 4
direct
0.827 0.250 0.868
0.173 0.750 0.132
0.673 0.250 0.368
0.327 0.750 0.632
0.061 0.940 0.830
0.939 0.440 0.170
0.561 0.060 0.670
0.061 0.560 0.830
0.439 0.940 0.330
0.561 0.440 0.670
0.939 0.060 0.170
0.439 0.560 0.330
0.824 0.750 0.479
0.176 0.250 0.521
0.676 0.750 0.979
0.324 0.250 0.021
```

Results
ΔH_f (0 K) ... -0.46 eV per atom
V ... 19.2 Å³/atom
Total magnetization ... 0.00 μB per cell
Energy above the most stable polymorph in this dataset ... 0 meV per atom

---

Copy entry 10 word for word.
The following is a GGA-PBE calculation of a relaxed In2NiCl crystal, from Alexandria via LeMat-Bulk.

```
In2NiCl
1.0
0.000 3.544 3.544
3.544 0.000 3.544
3.544 3.544 0.000
Ni Cl In
1 1 2
direct
0.500 0.500 0.500
0.000 0.000 0.000
0.750 0.750 0.750
0.250 0.250 0.250
```

Results
ΔE_f (raw) ... 0.1623 eV/atom
V ... 22.3 Å³/atom
Total magnetization ... 0.49 μB per cell
Energy above the most stable polymorph in this dataset ... 419 meV per atom

---

> total magnetization of number 10 (In2NiCl)?

0.49 μB per cell